# 1
Entry from Alexandria via LeMat-Bulk: a relaxed Be2PW crystal (PBE).

abc: 3.243 4.131 7.383
angles: 90.00 90.00 90.00
Space group Cmmm (No. 65)
Unique sites:
Be  0.000  0.000  0.247 [4 per cell]
P  0.000  0.500  0.000 [2 per cell]
W  0.000  0.500  0.500 [2 per cell]

Calculated values
* energy of formation from the pure elements: 1.39 eV/f.u.
* volume: 98.9 Å³ per cell

***

# 2
Entry from Alexandria via LeMat-Bulk: a relaxed BePW2 crystal (PBE).

abc: 8.766 2.901 4.307
angles: 90.00 104.97 90.00
Space group Cm (No. 8)
Unique sites:
Be  0.000  0.000  0.000 [2 per cell]
P  0.273  0.000  0.686 [2 per cell]
W  0.028  0.500  0.520 [2 per cell]
W  0.245  0.500  0.150 [2 per cell]

Calculated values
* energy of formation from the pure elements: 0.25 eV/f.u.
* volume: 105.8 Å³ per cell

***

# 3
Entry from Alexandria via LeMat-Bulk: a relaxed BePW2 crystal (PBE).

abc: 2.938 2.938 6.055
angles: 90.00 90.00 90.00
Space group P4/mmm (No. 123)
Unique sites:
Be  0.000  0.000  0.000 [1 per cell]
P  0.000  0.000  0.500 [1 per cell]
W  0.500  0.500  0.249 [2 per cell]

Calculated values
* energy of formation from the pure elements: 0.64 eV/f.u.
* volume: 52.3 Å³ per cell

***

# 4
Entry from Alexandria via LeMat-Bulk: a relaxed BePW2 crystal (PBE).

abc: 3.234 3.771 4.442
angles: 90.00 90.00 90.00
Space group Pmmm (No. 47)
Unique sites:
Be  0.000  0.000  0.000 [1 per cell]
P  0.500  0.000  0.500 [1 per cell]
W  0.000  0.500  0.500 [1 per cell]
W  0.500  0.500  0.000 [1 per cell]

Calculated values
* energy of formation from the pure elements: 1.05 eV/f.u.
* volume: 54.2 Å³ per cell

***

# 5
Entry from Alexandria via LeMat-Bulk: a relaxed BeP4W crystal (PBE).

abc: 6.879 6.879 6.879
angles: 90.00 90.00 90.00
Space group F-43m (No. 216)
Unique sites:
Be  0.000  0.000  0.000 [4 per cell]
P  0.124  0.124  0.624 [16 per cell]
W  0.250  0.250  0.250 [4 per cell]

Calculated values
* energy of formation from the pure elements: 5.56 eV/f.u.
* volume: 325.5 Å³ per cell

***

# 6
Entry from Alexandria via LeMat-Bulk: a relaxed BePW2 crystal (PBE).

abc: 3.520 3.295 8.758
angles: 90.00 90.00 90.00
Space group Amm2 (No. 38)
Unique sites:
Be  0.000  0.000  0.000 [2 per cell]
P  0.500  0.000  0.149 [2 per cell]
W  0.000  0.000  0.723 [2 per cell]
W  0.500  0.000  0.434 [2 per cell]

Calculated values
* energy of formation from the pure elements: -0.39 eV/f.u.
* volume: 101.6 Å³ per cell

***

# 7
Entry from Alexandria via LeMat-Bulk: a relaxed Be2PW crystal (PBE).

abc: 2.604 2.604 7.324
angles: 90.00 90.00 90.00
Space group P4/mmm (No. 123)
Unique sites:
Be  0.000  0.000  0.249 [2 per cell]
P  0.500  0.500  0.000 [1 per cell]
W  0.500  0.500  0.500 [1 per cell]

Calculated values
* energy of formation from the pure elements: 1.63 eV/f.u.
* volume: 49.6 Å³ per cell

***

# 8
Entry from Alexandria via LeMat-Bulk: a relaxed Be4PW crystal (PBE).

abc: 6.189 6.189 6.189
angles: 90.00 90.00 90.00
Space group F-43m (No. 216)
Unique sites:
Be  0.122  0.122  0.378 [16 per cell]
P  0.000  0.000  0.000 [4 per cell]
W  0.250  0.250  0.750 [4 per cell]

Calculated values
* energy of formation from the pure elements: 0.50 eV/f.u.
* volume: 237.0 Å³ per cell

***

# 9
Entry from Alexandria via LeMat-Bulk: a relaxed BeP3W crystal (PBE).

abc: 4.148 4.148 4.148
angles: 90.00 90.00 90.00
Space group Pm-3m (No. 221)
Unique sites:
Be  0.000  0.000  0.000 [1 per cell]
P  0.000  0.000  0.500 [3 per cell]
W  0.500  0.500  0.500 [1 per cell]

Calculated values
* energy of formation from the pure elements: 5.35 eV/f.u.
* volume: 71.4 Å³ per cell

***

# 10
Entry from Alexandria via LeMat-Bulk: a relaxed Be2PW crystal (PBE).

abc: 3.362 3.362 7.797
angles: 90.00 90.00 90.00
Space group I-4m2 (No. 119)
Unique sites:
Be  0.000  0.000  0.000 [2 per cell]
Be  0.000  0.500  0.250 [2 per cell]
P  0.000  0.000  0.500 [2 per cell]
W  0.000  0.500  0.750 [2 per cell]

Calculated values
* energy of formation from the pure elements: -0.29 eV/f.u.
* volume: 88.1 Å³ per cell

***

# 11
Entry from Alexandria via LeMat-Bulk: a relaxed Be2PW crystal (PBE).

abc: 3.177 3.177 4.671
angles: 90.00 90.00 90.00
Space group P4/mmm (No. 123)
Unique sites:
Be  0.000  0.000  0.243 [2 per cell]
P  0.500  0.500  0.500 [1 per cell]
W  0.500  0.500  0.000 [1 per cell]

Calculated values
* energy of formation from the pure elements: 0.08 eV/f.u.
* volume: 47.2 Å³ per cell

***

# 12
Entry from Alexandria via LeMat-Bulk: a relaxed BePW2 crystal (PBE).

abc: 3.244 4.418 8.466
angles: 90.00 90.00 90.00
Space group Cmm2 (No. 35)
Unique sites:
Be  0.000  0.000  0.000 [2 per cell]
P  0.000  0.500  0.305 [2 per cell]
W  0.000  0.000  0.526 [2 per cell]
W  0.000  0.500  0.793 [2 per cell]

Calculated values
* energy of formation from the pure elements: 1.42 eV/f.u.
* volume: 121.3 Å³ per cell

***

# 13
Entry from Alexandria via LeMat-Bulk: a relaxed BePW2 crystal (PBE).

abc: 3.123 3.123 5.422
angles: 90.00 90.00 90.00
Space group P4mm (No. 99)
Unique sites:
Be  0.000  0.000  0.000 [1 per cell]
P  0.500  0.500  0.244 [1 per cell]
W  0.000  0.000  0.484 [1 per cell]
W  0.500  0.500  0.786 [1 per cell]

Calculated values
* energy of formation from the pure elements: -0.19 eV/f.u.
* volume: 52.9 Å³ per cell

***

# 14
Entry from Alexandria via LeMat-Bulk: a relaxed BePW2 crystal (PBE).

abc: 2.8843 2.8843 23.1510
angles: 90.00 90.00 120.00
Space group R-3m (No. 166, hexagonal axes)
Unique sites:
Be  0.0000  0.0000  0.0000 [3 per cell]
P  0.0000  0.0000  0.5000 [3 per cell]
W  0.0000  0.0000  0.2481 [6 per cell]

Calculated values
* energy of formation from the pure elements: 1.07 eV/f.u.
* volume: 166.8 Å³ per cell

***

# 15
Entry from Alexandria via LeMat-Bulk: a relaxed Be2PW crystal (PBE).

abc: 2.8974 2.8974 21.2973
angles: 90.00 90.00 120.00
Space group R3m (No. 160, hexagonal axes)
Unique sites:
Be  0.0000  0.0000  0.0000 [3 per cell]
Be  0.0000  0.0000  0.2551 [3 per cell]
P  0.0000  0.0000  0.7472 [3 per cell]
W  0.0000  0.0000  0.4970 [3 per cell]

Calculated values
* energy of formation from the pure elements: 1.49 eV/f.u.
* volume: 154.8 Å³ per cell

***

# 16
Entry from Alexandria via LeMat-Bulk: a relaxed BePW2 crystal (PBE).

abc: 5.919 5.919 5.919
angles: 90.00 90.00 90.00
Space group Fm-3m (No. 225)
Unique sites:
Be  0.000  0.000  0.000 [4 per cell]
P  0.000  0.000  0.500 [4 per cell]
W  0.250  0.250  0.250 [8 per cell]

Calculated values
* energy of formation from the pure elements: 0.77 eV/f.u.
* volume: 207.4 Å³ per cell

***

# 17
Entry from Alexandria via LeMat-Bulk: a relaxed BePW3 crystal (PBE).

abc: 4.211 4.211 4.211
angles: 90.00 90.00 90.00
Space group Pm-3m (No. 221)
Unique sites:
Be  0.000  0.000  0.000 [1 per cell]
P  0.500  0.500  0.500 [1 per cell]
W  0.000  0.000  0.500 [3 per cell]

Calculated values
* energy of formation from the pure elements: 5.77 eV/f.u.
* volume: 74.7 Å³ per cell

***

# 18
Entry from Alexandria via LeMat-Bulk: a relaxed Be2PW crystal (PBE).

abc: 3.074 3.074 4.887
angles: 90.00 90.00 90.00
Space group P4mm (No. 99)
Unique sites:
Be  0.000  0.000  0.000 [1 per cell]
Be  0.500  0.500  0.199 [1 per cell]
P  0.000  0.000  0.451 [1 per cell]
W  0.500  0.500  0.703 [1 per cell]

Calculated values
* energy of formation from the pure elements: -0.23 eV/f.u.
* volume: 46.2 Å³ per cell

***

# 19
Entry from Alexandria via LeMat-Bulk: a relaxed BeP3W crystal (PBE).

abc: 4.699 4.699 4.699
angles: 90.00 90.00 90.00
Space group Pm-3m (No. 221)
Unique sites:
Be  0.000  0.000  0.000 [1 per cell]
P  0.000  0.500  0.500 [3 per cell]
W  0.500  0.500  0.500 [1 per cell]

Calculated values
* energy of formation from the pure elements: 4.90 eV/f.u.
* volume: 103.8 Å³ per cell

***

# 20
Entry from Alexandria via LeMat-Bulk: a relaxed Be2PW crystal (PBE).

abc: 2.7746 2.7746 22.3169
angles: 90.00 90.00 120.00
Space group R-3m (No. 166, hexagonal axes)
Unique sites:
Be  0.0000  0.0000  0.2416 [6 per cell]
P  0.0000  0.0000  0.5000 [3 per cell]
W  0.0000  0.0000  0.0000 [3 per cell]

Calculated values
* energy of formation from the pure elements: 1.44 eV/f.u.
* volume: 148.8 Å³ per cell

***

# 21
Entry from Alexandria via LeMat-Bulk: a relaxed Be2PW crystal (PBE).

abc: 5.733 5.733 5.733
angles: 90.00 90.00 90.00
Space group F-43m (No. 216)
Unique sites:
Be  0.000  0.000  0.000 [4 per cell]
Be  0.250  0.250  0.250 [4 per cell]
P  0.250  0.250  0.750 [4 per cell]
W  0.000  0.000  0.500 [4 per cell]

Calculated values
* energy of formation from the pure elements: 1.90 eV/f.u.
* volume: 188.5 Å³ per cell

***

# 22
Entry from Alexandria via LeMat-Bulk: a relaxed BePW2 crystal (PBE).

abc: 3.706 3.706 17.418
angles: 90.00 90.00 90.00
Space group I-42d (No. 122)
Unique sites:
Be  0.000  0.000  0.000 [4 per cell]
P  0.000  0.000  0.500 [4 per cell]
W  0.236  0.250  0.125 [8 per cell]

Calculated values
* energy of formation from the pure elements: 1.89 eV/f.u.
* volume: 239.2 Å³ per cell

***

# 23
Entry from Alexandria via LeMat-Bulk: a relaxed Be2PW crystal (PBE).

abc: 2.753 2.753 7.944
angles: 90.00 90.00 90.00
Space group P4mm (No. 99)
Unique sites:
Be  0.000  0.000  0.000 [1 per cell]
Be  0.500  0.500  0.125 [1 per cell]
P  0.000  0.000  0.570 [1 per cell]
W  0.500  0.500  0.781 [1 per cell]

Calculated values
* energy of formation from the pure elements: 1.84 eV/f.u.
* volume: 60.2 Å³ per cell

***

# 24
Entry from Alexandria via LeMat-Bulk: a relaxed Be2PW crystal (PBE).

abc: 2.633 3.883 4.523
angles: 90.00 90.00 90.00
Space group Pmm2 (No. 25)
Unique sites:
Be  0.000  0.000  0.000 [1 per cell]
Be  0.000  0.500  0.228 [1 per cell]
P  0.000  0.500  0.733 [1 per cell]
W  0.500  0.000  0.486 [1 per cell]

Calculated values
* energy of formation from the pure elements: 0.32 eV/f.u.
* volume: 46.2 Å³ per cell

***

# 25
Entry from Alexandria via LeMat-Bulk: a relaxed Be2PW crystal (PBE).

abc: 3.050 3.473 4.375
angles: 90.00 90.00 90.00
Space group Pmmm (No. 47)
Unique sites:
Be  0.000  0.000  0.230 [2 per cell]
P  0.000  0.500  0.500 [1 per cell]
W  0.500  0.500  0.000 [1 per cell]

Calculated values
* energy of formation from the pure elements: 0.28 eV/f.u.
* volume: 46.4 Å³ per cell

***

# 26
Entry from Alexandria via LeMat-Bulk: a relaxed Be2PW crystal (PBE).

abc: 4.716 7.863 2.708
angles: 90.00 104.93 90.00
Space group C2/m (No. 12)
Unique sites:
Be  0.250  0.250  0.000 [4 per cell]
P  0.000  0.000  0.500 [2 per cell]
W  0.000  0.500  0.500 [2 per cell]

Calculated values
* energy of formation from the pure elements: 1.03 eV/f.u.
* volume: 97.0 Å³ per cell

***

# 27
Entry from Alexandria via LeMat-Bulk: a relaxed BePW2 crystal (PBE).

abc: 3.217 4.516 7.451
angles: 90.00 90.00 90.00
Space group Immm (No. 71)
Unique sites:
Be  0.000  0.000  0.000 [2 per cell]
P  0.000  0.000  0.500 [2 per cell]
W  0.000  0.500  0.246 [4 per cell]

Calculated values
* energy of formation from the pure elements: 0.82 eV/f.u.
* volume: 108.2 Å³ per cell

***

# 28
Entry from Alexandria via LeMat-Bulk: a relaxed BePW2 crystal (PBE).

abc: 5.409 6.156 3.145
angles: 90.00 90.00 90.00
Space group Cmmm (No. 65)
Unique sites:
Be  0.000  0.000  0.000 [2 per cell]
P  0.000  0.500  0.000 [2 per cell]
W  0.250  0.250  0.500 [4 per cell]

Calculated values
* energy of formation from the pure elements: 0.86 eV/f.u.
* volume: 104.7 Å³ per cell

***

# 29
Entry from Alexandria via LeMat-Bulk: a relaxed BePW4 crystal (PBE).

abc: 7.403 7.403 7.403
angles: 90.00 90.00 90.00
Space group F-43m (No. 216)
Unique sites:
Be  0.000  0.000  0.000 [4 per cell]
P  0.250  0.250  0.750 [4 per cell]
W  0.126  0.126  0.374 [16 per cell]

Calculated values
* energy of formation from the pure elements: 6.21 eV/f.u.
* volume: 405.7 Å³ per cell

***

# 30
Entry from Alexandria via LeMat-Bulk: a relaxed Be2PW crystal (PBE).

abc: 4.764 7.222 2.793
angles: 90.00 90.00 90.00
Space group Cmmm (No. 65)
Unique sites:
Be  0.250  0.250  0.000 [4 per cell]
P  0.000  0.000  0.500 [2 per cell]
W  0.000  0.500  0.500 [2 per cell]

Calculated values
* energy of formation from the pure elements: 0.92 eV/f.u.
* volume: 96.1 Å³ per cell